VASP calculation (GGA+U) on crystalline Ca5V3O13 at its relaxed geometry.

Summary:
**Raw total energy**: -149.689 eV per formula unit
**Total magnetization**: 1.1 μB/f.u.
**Mass density**: 3.06 g/cm³

Structure (POSCAR):
```
Ca5V3O13
1.0
10.118 0.000 0.000
-5.059 8.762 0.000
0.000 0.000 6.880
Ca V O
10 6 26
direct
0.024 0.768 0.250 Ca
0.232 0.256 0.250 Ca
0.256 0.024 0.750 Ca
0.333 0.667 0.503 Ca
0.333 0.667 0.997 Ca
0.667 0.333 0.003 Ca
0.667 0.333 0.497 Ca
0.744 0.976 0.250 Ca
0.768 0.744 0.750 Ca
0.976 0.232 0.750 Ca
0.029 0.406 0.250 V
0.377 0.971 0.250 V
0.406 0.377 0.750 V
0.594 0.623 0.250 V
0.623 0.029 0.750 V
0.971 0.594 0.750 V
0.000 0.000 0.250 O
0.000 0.000 0.750 O
0.084 0.338 0.052 O
0.084 0.338 0.448 O
0.140 0.607 0.250 O
0.163 0.654 0.750 O
0.255 0.916 0.052 O
0.255 0.916 0.448 O
0.338 0.255 0.552 O
0.338 0.255 0.948 O
0.346 0.510 0.750 O
0.393 0.533 0.250 O
0.467 0.860 0.250 O
0.490 0.837 0.750 O
0.510 0.163 0.250 O
0.533 0.140 0.750 O
0.607 0.467 0.750 O
0.654 0.490 0.250 O
0.662 0.745 0.052 O
0.662 0.745 0.448 O
0.745 0.084 0.552 O
0.745 0.084 0.948 O
0.837 0.346 0.250 O
0.860 0.393 0.750 O
0.916 0.662 0.552 O
0.916 0.662 0.948 O
```